[1]
6
Lattice="3.1114 0.0000 0.0000 -1.5557 2.6946 0.0000 0.0000 0.0000 6.6975" Properties=species:S:1:pos:R:3 comment="TmMnB4, relaxed, DFT PBE" final_energy_ry_per_atom=-0.53052 n_ef_per_ev_cell=1.44 relative_energy_mev_per_atom=192 magnetic_moment_mub_per_atom=0.35 pbc="T T T"
Mn 0.0000 0.0000 0.0000
B 1.5557 0.8982 5.2612
Tm 0.0000 0.0000 3.3487
B 0.0000 1.7964 5.2612
B 1.5557 0.8982 1.4363
B 0.0000 1.7964 1.4363



[2]
24
Lattice="3.3669 0.0000 0.0000 0.0000 5.8714 0.0000 0.0000 0.0000 11.3483" Properties=species:S:1:pos:R:3 comment="TmMnB4, relaxed, DFT PBE" final_energy_ry_per_atom=-0.54460 n_ef_per_ev_cell=5.70 relative_energy_mev_per_atom=0 magnetic_moment_mub_per_atom=0.15 pbc="T T T"
Mn 1.6834 5.1185 0.9546
Mn 1.6834 0.7528 10.3937
B 0.0000 4.5931 7.7654
B 0.0000 5.7253 9.1725
B 0.0000 5.2091 10.8181
Mn 1.6834 2.1828 4.7196
B 0.0000 2.7896 7.8500
B 0.0000 2.2735 6.2044
B 0.0000 3.5979 5.1439
B 0.0000 2.1312 10.9840
B 0.0000 0.6622 0.5302
B 0.0000 3.0818 3.4983
B 0.0000 1.6574 9.2571
B 0.0000 5.0669 6.0384
B 0.0000 3.7402 0.3643
Tm 1.6834 2.1937 1.7056
Tm 1.6834 3.6776 9.6427
Mn 1.6834 3.6885 6.6287
B 0.0000 1.2783 3.5829
B 0.0000 0.1461 2.1758
B 0.0000 4.2139 2.0912
Tm 1.6834 5.1294 3.9685
Tm 1.6834 0.7419 7.3798
B 0.0000 0.8045 5.3099



[3]
24
Lattice="3.4310 0.0000 0.0000 0.0000 5.8435 0.0000 0.0000 0.0000 11.3307" Properties=species:S:1:pos:R:3 comment="UMnB4, relaxed, DFT PBE" final_energy_ry_per_atom=-0.62092 n_ef_per_ev_cell=16.68 magnetic_moment_mub_per_atom=0.00 pbc="T T T"
B 1.7155 1.2627 9.2120
Mn 0.0000 2.1309 10.3006
B 1.7155 0.1507 7.8331
B 1.7155 0.7925 10.9514
B 1.7155 4.1845 7.7841
B 1.7155 0.6634 6.1860
B 1.7155 3.0725 9.1629
U 0.0000 2.1807 7.3691
B 1.7155 2.2583 0.5207
Mn 0.0000 0.7909 4.6352
B 1.7155 2.1293 5.2861
B 1.7155 5.0510 0.3793
U 0.0000 0.7411 1.7038
B 1.7155 3.7143 6.0447
B 1.7155 2.7711 2.1678
U 0.0000 3.6628 3.9616
Mn 0.0000 3.7126 1.0302
B 1.7155 1.6590 3.5466
B 1.7155 5.6928 3.4976
B 1.7155 4.5808 2.1187
U 0.0000 5.1025 9.6269
Mn 0.0000 5.0527 6.6955
B 1.7155 5.1801 5.1447
B 1.7155 3.5852 10.8100



[4]
21
Lattice="6.3607 0.0276 0.7328 0.6706 6.2821 0.6497 0.0408 0.0496 6.3508" Properties=species:S:1:pos:R:3 comment="U2Mn17B2, relaxed, DFT PBE" final_energy_ry_per_atom=-0.66936 n_ef_per_ev_cell=28.59 magnetic_moment_mub_per_atom=0.03 pbc="T T T"
Mn 0.4955 4.5489 2.2351
Mn 3.1803 0.0138 0.3664
Mn 4.6433 4.1751 1.8721
Mn 2.4145 6.2973 5.4655
Mn 2.2458 4.6278 6.9927
Mn 4.6577 0.0620 2.2677
B 3.2008 0.0386 3.5418
U 4.7149 4.0839 4.9854
B 3.5157 3.1548 0.6912
Mn 0.2160 1.7828 4.7654
Mn 5.7013 2.2398 3.0784
Mn 6.3564 5.6995 6.9329
Mn 0.0204 0.0248 3.1754
Mn 1.3709 4.1195 4.6549
Mn 0.7157 0.6599 0.8004
Mn 2.7496 5.3590 2.9571
Mn 4.8264 1.7315 0.7406
Mn 2.4288 2.1842 5.8612
Mn 4.3225 1.0003 4.7762
U 2.3572 2.2754 2.7479
Mn 0.3353 3.1411 0.3248



[5]
4
Lattice="2.8441 0.0000 0.0000 1.4220 2.4631 0.0000 1.4220 0.8210 7.1278" Properties=species:S:1:pos:R:3 comment="UMn2B, relaxed, DFT PBE" final_energy_ry_per_atom=-0.65912 n_ef_per_ev_cell=3.90 magnetic_moment_mub_per_atom=0.00 pbc="T T T"
Mn 4.2661 2.4631 6.0048
U 2.8441 1.6420 3.5639
Mn 1.4220 0.8210 1.1230
B 0.0000 0.0000 0.0000



[6]
26
Lattice="4.0910 0.0000 0.0000 0.0000 5.5285 0.0000 0.0000 0.0000 11.0414" Properties=species:S:1:pos:R:3 comment="U2MnB10, relaxed, DFT PBE" final_energy_ry_per_atom=-0.58708 n_ef_per_ev_cell=15.16 magnetic_moment_mub_per_atom=0.17 pbc="T T T"
B 0.0000 2.0714 0.4272
U 2.0455 4.3486 6.9604
B 0.0000 4.8356 5.0934
B 0.0000 2.9935 3.4402
B 0.0000 1.9773 2.1801
B 2.8564 4.3710 9.7756
B 2.8564 1.6068 6.7865
U 2.0455 1.5843 9.6016
B 0.0000 4.7415 3.3406
B 0.0000 2.5350 7.6012
B 1.2345 1.6068 6.7865
U 2.0455 3.9441 1.4397
B 1.2345 4.3710 9.7756
B 0.0000 5.2993 8.9609
B 0.0000 0.2292 2.0805
B 0.0000 0.7870 7.7008
B 0.0000 0.6929 5.9479
B 1.2345 1.1575 1.2658
B 1.2345 3.9217 4.2549
U 2.0455 1.1799 4.0809
Mn 0.0000 2.7642 5.5207
B 2.8564 1.1575 1.2658
B 0.0000 3.5512 8.8613
B 0.0000 3.4571 10.6141
Mn 0.0000 0.0000 0.0000
B 2.8564 3.9217 4.2549



[7]
7
Lattice="-0.1779 2.1537 -2.0259 1.1610 -1.8955 -2.1169 -7.3990 -2.3731 0.2924" Properties=species:S:1:pos:R:3 comment="UMn2B4, relaxed, DFT PBE" final_energy_ry_per_atom=-0.62031 n_ef_per_ev_cell=6.34 magnetic_moment_mub_per_atom=0.42 pbc="T T T"
B -0.8097 -1.3994 -1.4165
B -4.7338 -1.5379 -1.2192
B -1.6821 -0.5771 -2.6313
B -5.6062 -0.7155 -2.4340
Mn -2.6897 -0.8738 -0.6928
U -0.0889 1.0768 -1.0130
Mn -3.7262 -1.2411 -3.1578



[8]
26
Lattice="-5.8176 -1.2611 1.2896 2.4152 -2.4858 5.0085 -0.6448 6.6866 3.6296" Properties=species:S:1:pos:R:3 comment="UMn10B2, relaxed, DFT PBE" final_energy_ry_per_atom=-0.66499 n_ef_per_ev_cell=27.30 magnetic_moment_mub_per_atom=0.00 pbc="T T T"
Mn -3.2379 4.5078 6.1152
Mn 0.1422 0.5356 3.0542
Mn -1.0461 0.8864 5.1449
Mn -3.2184 -0.5907 4.5320
Mn -2.9799 0.4167 6.7341
Mn -0.7449 -0.8203 1.3788
Mn -0.8094 -1.5681 3.8125
B 0.8852 2.1004 4.3191
Mn -2.6575 -2.9266 4.9193
Mn -1.7738 2.4897 7.1450
Mn 0.3627 3.7981 7.6381
Mn -2.5325 4.2288 3.8064
Mn -2.2735 0.4500 2.7828
Mn -0.8288 3.5304 5.3958
Mn -3.0012 2.0533 4.7829
U 1.3378 -0.6779 5.5021
B -2.9088 -0.6305 0.6448
Mn -4.1894 2.4041 6.8736
Mn -1.0673 2.5230 3.1936
Mn -4.4099 -0.8584 2.2896
B 1.2076 -1.2429 2.5043
B -3.2312 2.7128 2.4596
Mn 0.5653 1.6968 6.4975
Mn -1.5147 -1.2891 6.1213
U -5.3850 3.6176 4.4257
Mn -4.6126 1.2429 3.4303



[9]
10
Lattice="-2.5723 -0.3017 2.7924 0.2101 -3.0393 -0.1348 7.7800 0.3335 4.6056" Properties=species:S:1:pos:R:3 comment="UMnB3, relaxed, DFT PBE" final_energy_ry_per_atom=-0.61685 n_ef_per_ev_cell=8.15 magnetic_moment_mub_per_atom=0.06 pbc="T T T"
B 4.8432 -0.6251 4.3940
Mn 2.7643 -2.2061 2.3080
B 6.2087 -0.5866 5.6560
B 1.1211 -0.8444 3.5388
B 4.2967 -2.1630 3.7244
U 4.3839 -2.2752 6.3898
B 0.5746 -2.3824 2.8692
B -0.7909 -2.4208 1.6071
U 1.0339 -0.7322 0.8733
Mn 2.6536 -0.8013 4.9551



[10]
8
Lattice="-5.3025 -3.0869 -2.8530 2.5024 -6.0084 1.8502 -2.4417 -4.4259 1.3027" Properties=species:S:1:pos:R:3 comment="MnV2B, relaxed, DFT PBE" final_energy_ry_per_atom=-0.60802 n_ef_per_ev_cell=9.76 magnetic_moment_mub_per_atom=0.40 pbc="T T T"
B -0.6697 -7.4910 1.3257
V -3.1689 -3.5290 -0.9879
Mn 0.0000 0.0000 0.0000
V -4.4904 -10.7760 -0.0550
V -0.1521 -5.5054 0.8871
Mn -4.5721 -6.0302 -1.0259
V -2.6723 -7.2320 0.7555
B -1.4001 -4.5477 -0.5014



[11]
10
Lattice="2.7924 0.0000 0.0000 0.0000 3.8719 0.0031 0.0000 -0.9444 8.6046" Properties=species:S:1:pos:R:3 comment="Mn2VB2, relaxed, DFT PBE" final_energy_ry_per_atom=-0.62537 n_ef_per_ev_cell=7.31 relative_energy_mev_per_atom=76 magnetic_moment_mub_per_atom=0.15 pbc="T T T"
B 2.0943 0.4842 2.8947
B 0.6981 2.4432 5.7131
B 0.6981 0.5210 8.3917
Mn 2.0943 2.4272 4.1779
V 2.0943 0.4920 6.5356
V 0.6981 2.4354 2.0721
Mn 0.6981 2.4503 7.7077
Mn 0.6981 0.5003 4.4299
Mn 2.0943 0.4772 0.9000
B 2.0943 2.4065 0.2160



[12]
5
Lattice="3.7014 0.0000 0.0000 0.0000 3.7014 0.0000 0.0000 0.0000 3.7014" Properties=species:S:1:pos:R:3 comment="MnVB3, relaxed, DFT PBE" final_energy_ry_per_atom=-0.51635 n_ef_per_ev_cell=2.38 magnetic_moment_mub_per_atom=0.37 pbc="T T T"
B 0.0000 1.8507 0.0000
B 0.0000 0.0000 1.8507
B 1.8507 0.0000 0.0000
Mn 0.0000 0.0000 0.0000
V 1.8507 1.8507 1.8507



[13]
7
Lattice="-3.6466 -1.1179 1.1029 1.5355 -3.1225 1.9121 -0.5735 1.0777 6.3426" Properties=species:S:1:pos:R:3 comment="Mn2V4B, relaxed, DFT PBE" final_energy_ry_per_atom=-0.61868 n_ef_per_ev_cell=8.55 magnetic_moment_mub_per_atom=0.20 pbc="T T T"
V -1.8233 -0.5589 0.5514
Mn -0.9277 -1.2716 2.7905
Mn -1.7570 -1.8911 6.5671
V 0.7677 -1.5613 0.9561
B 0.0000 0.0000 0.0000
V -1.9333 -3.0601 4.7995
V -0.7514 -0.1025 4.5581



[14]
5
Lattice="-0.2111 -1.5708 -3.5886 -1.3402 -3.3479 1.5443 -3.6809 1.3091 -0.3564" Properties=species:S:1:pos:R:3 comment="MnVB3, relaxed, DFT PBE" final_energy_ry_per_atom=-0.47945 n_ef_per_ev_cell=2.26 magnetic_moment_mub_per_atom=0.89 pbc="T T T"
B -0.6701 -1.6740 0.7721
B -0.1056 -0.7854 -1.7943
B -1.8404 0.6546 -0.1782
V 0.0000 0.0000 0.0000
Mn -2.6161 -1.8048 -1.2004



[15]
5
Lattice="3.8331 0.0000 0.0000 0.0000 3.8331 0.0000 0.0000 0.0000 3.8331" Properties=species:S:1:pos:R:3 comment="Mn3VB, relaxed, DFT PBE" final_energy_ry_per_atom=-0.63488 n_ef_per_ev_cell=3.75 relative_energy_mev_per_atom=0 magnetic_moment_mub_per_atom=0.60 pbc="T T T"
Mn 0.0000 1.9166 0.0000
V 1.9166 1.9166 1.9166
Mn 0.0000 0.0000 1.9166
Mn 1.9166 0.0000 0.0000
B 0.0000 0.0000 0.0000



[16]
10
Lattice="5.7015 0.0000 0.0000 0.0000 5.7015 0.0000 0.0000 0.0000 2.7420" Properties=species:S:1:pos:R:3 comment="Mn2VB2, relaxed, DFT PBE" final_energy_ry_per_atom=-0.63093 n_ef_per_ev_cell=7.50 relative_energy_mev_per_atom=0 magnetic_moment_mub_per_atom=0.00 pbc="T T T"
B 5.0446 3.5076 0.0000
V 0.0000 0.0000 0.0000
Mn 1.8672 0.9836 1.3710
Mn 0.9836 3.8343 1.3710
V 2.8507 2.8507 0.0000
B 2.1939 5.0446 0.0000
B 3.5076 0.6569 0.0000
Mn 4.7179 1.8672 1.3710
Mn 3.8343 4.7179 1.3710
B 0.6569 2.1939 0.0000



[17]
5
Lattice="4.0278 0.0000 0.0000 0.0000 4.0278 0.0000 0.0000 0.0000 4.0278" Properties=species:S:1:pos:R:3 comment="MnV3B, relaxed, DFT PBE" final_energy_ry_per_atom=-0.62489 n_ef_per_ev_cell=4.26 relative_energy_mev_per_atom=0 magnetic_moment_mub_per_atom=0.34 pbc="T T T"
Mn 2.0139 2.0139 2.0139
B 0.0000 0.0000 0.0000
V 2.0139 0.0000 0.0000
V 0.0000 2.0139 0.0000
V 0.0000 0.0000 2.0139



[18]
5
Lattice="4.1958 0.0000 0.0000 0.0000 4.1958 0.0000 0.0000 0.0000 4.1958" Properties=species:S:1:pos:R:3 comment="MnV3B, relaxed, DFT PBE" final_energy_ry_per_atom=-0.53786 n_ef_per_ev_cell=4.20 relative_energy_mev_per_atom=1184 magnetic_moment_mub_per_atom=0.00 pbc="T T T"
Mn 0.0000 0.0000 0.0000
V 0.0000 0.0000 2.0979
B 2.0979 2.0979 2.0979
V 2.0979 0.0000 0.0000
V 0.0000 2.0979 0.0000



[19]
5
Lattice="-0.1300 3.7973 2.0096 0.9635 -1.9336 3.7159 4.1868 0.5629 -0.7927" Properties=species:S:1:pos:R:3 comment="Mn3VB, relaxed, DFT PBE" final_energy_ry_per_atom=-0.50802 n_ef_per_ev_cell=4.44 relative_energy_mev_per_atom=1726 magnetic_moment_mub_per_atom=1.38 pbc="T T T"
Mn -0.0650 1.8986 1.0048
Mn 0.4818 -0.9668 1.8579
Mn 2.0934 0.2814 -0.3964
B 2.5102 1.2133 2.4664
V 0.0000 0.0000 0.0000



[20]
4
Lattice="2.8616 0.0000 0.0000 1.4308 2.4782 0.0000 1.4308 0.8261 6.3112" Properties=species:S:1:pos:R:3 comment="MnV2B, relaxed, DFT PBE" final_energy_ry_per_atom=-0.63092 n_ef_per_ev_cell=2.69 magnetic_moment_mub_per_atom=0.07 pbc="T T T"
V 4.2924 2.4782 5.0159
V 1.4308 0.8261 1.2953
B 0.0000 0.0000 0.0000
Mn 2.8616 1.6521 3.1556



[21]
7
Lattice="3.8851 0.0000 0.0000 1.9425 3.3646 0.0000 1.9425 1.1215 6.1447" Properties=species:S:1:pos:R:3 comment="MnV4B2, relaxed, DFT PBE" final_energy_ry_per_atom=-0.62604 n_ef_per_ev_cell=4.62 magnetic_moment_mub_per_atom=0.00 pbc="T T T"
V 3.8851 2.2430 0.9648
V 3.8851 2.2430 5.1798
B 1.9425 1.1215 4.1825
Mn 0.0000 0.0000 0.0000
V 1.9425 1.1215 2.0767
B 5.8276 3.3646 1.9621
V 5.8276 3.3646 4.0680



[22]
4
Lattice="3.1674 0.0000 0.0000 0.0000 3.6634 0.0000 0.0000 0.0000 3.6634" Properties=species:S:1:pos:R:3 comment="MnV2B, relaxed, DFT PBE" final_energy_ry_per_atom=-0.63353 n_ef_per_ev_cell=2.74 magnetic_moment_mub_per_atom=0.05 pbc="T T T"
Mn 1.5837 1.8317 1.8317
V 0.0000 1.8317 0.0000
B 1.5837 0.0000 0.0000
V 0.0000 0.0000 1.8317